VASP calculation (PBE-GGA) on a geometry-optimized HfTi5Al3 structure.

Cell: 5.622 7.957 7.957 Å, 120.00 90.00 90.00°
Atoms (fractional coordinates):
Hf: 0.000 0.000 0.000
Hf: 0.500 0.000 0.000
Ti: 0.000 0.667 0.333
Ti: 0.500 0.333 0.667
Ti: 0.000 0.333 0.667
Ti: 0.500 0.667 0.333
Ti: 0.750 0.663 0.663
Ti: 0.750 0.000 0.337
Ti: 0.750 0.336 0.000
Ti: 0.250 0.337 0.337
Ti: 0.250 0.000 0.663
Ti: 0.250 0.664 0.000
Al: 0.750 0.336 0.336
Al: 0.750 0.000 0.664
Al: 0.750 0.664 0.000
Al: 0.250 0.664 0.664
Al: 0.250 0.000 0.336
Al: 0.250 0.336 0.000

Formation energy from the elements (eV per atom): -0.30
SG: P6_3/mcm (193)

***

VASP calculation (PBE-GGA) on a geometry-optimized HfTi3Al structure.

Cell: 3.778 3.778 7.096 Å, 105.44 105.44 90.00°
Atoms (fractional coordinates):
Hf: 0.006 0.006 0.013
Ti: 0.274 0.774 0.549
Ti: 0.774 0.274 0.549
Ti: 0.419 0.419 0.839
Al: 0.616 0.616 0.232

Formation energy from the elements (eV per atom): 0.07
E above lowest polymorph (meV/atom): 0
SG: I4mm (107)

***

VASP calculation (PBE-GGA) on a geometry-optimized HfTi4Al3 structure.

Cell: 4.980 5.849 9.421 Å, 90.00 90.00 90.00°
Atoms (fractional coordinates):
Hf: 0.000 0.500 0.000
Hf: 0.000 0.500 0.500
Al: 0.000 0.000 0.000
Al: 0.000 0.000 0.500
Al: 0.669 0.000 0.750
Al: 0.331 0.000 0.250
Al: 0.652 0.500 0.750
Al: 0.348 0.500 0.250
Ti: 0.500 0.750 0.000
Ti: 0.500 0.750 0.500
Ti: 0.500 0.250 0.000
Ti: 0.500 0.250 0.500
Ti: 0.164 0.756 0.750
Ti: 0.836 0.756 0.250
Ti: 0.836 0.244 0.250
Ti: 0.164 0.244 0.750

Formation energy from the elements (eV per atom): -0.26
SG: Pmma (51)

***

VASP calculation (PBE-GGA) on a geometry-optimized HfTi3Al structure.

Cell: 2.819 5.361 12.014 Å, 90.00 90.00 90.00°
Atoms (fractional coordinates):
Hf: 0.500 0.250 0.198
Hf: 0.500 0.750 0.802
Ti: 0.500 0.492 0.611
Ti: 0.500 0.000 0.000
Ti: 0.500 0.008 0.611
Ti: 0.500 0.508 0.389
Ti: 0.500 0.500 0.000
Ti: 0.500 0.992 0.389
Al: 0.000 0.250 0.804
Al: 0.000 0.750 0.196

Formation energy from the elements (eV per atom): 0.19
E above lowest polymorph (meV/atom): 120
SG: Pmma (51)